Entry 1:
This record from Alexandria via LeMat-Bulk describes a geometry-optimized YP2Au2 structure. The functional is PBE.

Energy above the most stable polymorph in this dataset   0.163 eV per atom
DOS(E_F)   7.19 states/eV/cell
Formation energy from the elements   -117.4 kJ/mol of formula units

Unit cell a=7.308 b=7.308 c=3.574 alpha=90.00 beta=90.00 gamma=90.00
Space group P4/mbm (No. 127)
One atom of each set of equivalent atoms:
Y (0.000, 0.000, 0.000)
P (0.158, 0.342, 0.000)
Au (0.147, 0.647, 0.500)


Entry 2:
This record from Alexandria via LeMat-Bulk describes a geometry-optimized YPAu structure. The functional is PBE.

DOS(E_F)   6.40 states/eV/cell
Formation energy from the elements   -164.4 kJ/mol of formula units

Unit cell a=6.653 b=6.653 c=6.653 alpha=90.00 beta=90.00 gamma=90.00
Space group F-43m (No. 216)
One atom of each set of equivalent atoms:
Y (0.000, 0.000, 0.000)
P (0.250, 0.250, 0.750)
Au (0.250, 0.250, 0.250)


Entry 3:
This record from Alexandria via LeMat-Bulk describes a geometry-optimized YP2Au2 structure. The functional is PBE.

Energy above the most stable polymorph in this dataset   0.000 eV per atom
DOS(E_F)   4.84 states/eV/cell
Formation energy from the elements   -196.2 kJ/mol of formula units

Unit cell a=3.977 b=3.977 c=12.008 alpha=90.00 beta=90.00 gamma=90.00
Space group I4/mmm (No. 139)
One atom of each set of equivalent atoms:
Y (0.000, 0.000, 0.000)
P (0.000, 0.000, 0.404)
Au (0.000, 0.500, 0.250)


Entry 4:
This record from Alexandria via LeMat-Bulk describes a geometry-optimized YPAu2 structure. The functional is PBE.

DOS(E_F)   6.12 states/eV/cell
Formation energy from the elements   -225.1 kJ/mol of formula units

Unit cell a=3.953 b=3.953 c=21.531 alpha=90.00 beta=90.00 gamma=90.00
Space group I-42d (No. 122)
One atom of each set of equivalent atoms:
Y (0.000, 0.000, 0.000)
P (0.000, 0.000, 0.500)
Au (0.244, 0.250, 0.625)


Entry 5:
This record from Alexandria via LeMat-Bulk describes a geometry-optimized YPAu structure. The functional is PBE.

DOS(E_F)   3.39 states/eV/cell
Formation energy from the elements   -265.9 kJ/mol of formula units

Unit cell a=7.091 b=4.093 c=9.666 alpha=90.00 beta=104.04 gamma=90.00
Space group Cm (No. 8)
One atom of each set of equivalent atoms:
Y (0.000, 0.000, 0.000)
Y (0.053, 0.500, 0.658)
P (0.277, 0.000, 0.830)
P (0.326, 0.500, 0.476)
Au (0.142, 0.000, 0.424)
Au (0.232, 0.500, 0.198)


Entry 6:
This record from Alexandria via LeMat-Bulk describes a geometry-optimized Y2PAu structure. The functional is PBE.

DOS(E_F)   6.91 states/eV/cell
Formation energy from the elements   -361.8 kJ/mol of formula units

Unit cell a=3.693 b=3.848 c=14.015 alpha=90.00 beta=90.00 gamma=90.00
Space group Imm2 (No. 44)
One atom of each set of equivalent atoms:
Y (0.000, 0.000, 0.000)
Y (0.000, 0.500, 0.230)
P (0.000, 0.500, 0.658)
Au (0.000, 0.000, 0.405)


Entry 7:
This record from Alexandria via LeMat-Bulk describes a geometry-optimized Y3PAu structure. The functional is PBE.

Energy above the most stable polymorph in this dataset   0.000 eV per atom
DOS(E_F)   8.27 states/eV/cell
Formation energy from the elements   -270.9 kJ/mol of formula units

Unit cell a=5.213 b=5.213 c=5.213 alpha=90.00 beta=90.00 gamma=90.00
Space group Pm-3m (No. 221)
One atom of each set of equivalent atoms:
Y (0.000, 0.000, 0.500)
P (0.000, 0.000, 0.000)
Au (0.500, 0.500, 0.500)


Entry 8:
This record from Alexandria via LeMat-Bulk describes a geometry-optimized YPAu3 structure. The functional is PBE.

Energy above the most stable polymorph in this dataset   0.000 eV per atom
DOS(E_F)   6.47 states/eV/cell
Formation energy from the elements   -82.0 kJ/mol of formula units

Unit cell a=4.782 b=4.782 c=4.782 alpha=90.00 beta=90.00 gamma=90.00
Space group Pm-3m (No. 221)
One atom of each set of equivalent atoms:
Y (0.000, 0.000, 0.000)
P (0.500, 0.500, 0.500)
Au (0.000, 0.500, 0.500)


Entry 9:
This record from Alexandria via LeMat-Bulk describes a geometry-optimized ZnP2Au structure. The functional is PBE.

DOS(E_F)   3.14 states/eV/cell
Formation energy from the elements   118.7 kJ/mol of formula units

Unit cell a=5.051 b=9.910 c=2.703 alpha=90.00 beta=90.28 gamma=90.00
Space group C2/m (No. 12)
One atom of each set of equivalent atoms:
Zn (0.000, 0.000, 0.000)
P (0.250, 0.250, 0.000)
Au (0.000, 0.500, 0.000)


Entry 10:
This record from Alexandria via LeMat-Bulk describes a geometry-optimized Zn2PAu structure. The functional is PBE.

DOS(E_F)   2.76 states/eV/cell
Formation energy from the elements   17.8 kJ/mol of formula units

Unit cell a=2.903 b=3.783 c=12.681 alpha=90.00 beta=90.00 gamma=90.00
Space group Imm2 (No. 44)
One atom of each set of equivalent atoms:
Zn (0.000, 0.000, 0.000)
Zn (0.000, 0.500, 0.242)
P (0.000, 0.500, 0.667)
Au (0.000, 0.000, 0.403)


Entry 11:
This record from Alexandria via LeMat-Bulk describes a geometry-optimized ZnP2Au structure. The functional is PBE.

DOS(E_F)   3.07 states/eV/cell
Formation energy from the elements   140.6 kJ/mol of formula units

Unit cell a=5.164 b=7.117 c=3.615 alpha=90.00 beta=90.00 gamma=90.00
Space group Cmmm (No. 65)
One atom of each set of equivalent atoms:
Zn (0.000, 0.000, 0.000)
P (0.250, 0.250, 0.500)
Au (0.000, 0.500, 0.000)


Entry 12:
This record from Alexandria via LeMat-Bulk describes a geometry-optimized Zn2PAu structure. The functional is PBE.

DOS(E_F)   2.17 states/eV/cell
Formation energy from the elements   0.4 kJ/mol of formula units

Unit cell a=12.641 b=3.138 c=3.715 alpha=90.00 beta=106.78 gamma=90.00
Space group Cm (No. 8)
One atom of each set of equivalent atoms:
Zn (0.000, 0.000, 0.000)
Zn (0.142, 0.500, 0.640)
P (0.435, 0.000, 0.436)
Au (0.230, 0.000, 0.227)